1.
Here is a geometry-optimized Dy3MgC structure from Alexandria via LeMat-Bulk. Energies are from GGA-PBE.

Unit cell a=4.976 b=4.976 c=4.976 alpha=90.00 beta=90.00 gamma=90.00
Last column: magnetic moment on the atom in μB.
Element x y z (fractional)
Dy1 0.000 0.000 0.500  0.12
Dy2 0.500 0.000 0.000  0.12
Dy3 0.000 0.500 0.000  0.12
Mg1 0.500 0.500 0.500  0.02
C1 0.000 0.000 0.000  -0.01

Values from the calculation:
crystal system = cubic
energy of formation from the pure elements = -0.181 eV per atom
raw total energy = -25.5 eV for the cell shown
space-group type = Pm-3m, No. 221

2.
Here is a geometry-optimized Dy6MgC3 structure from Alexandria via LeMat-Bulk. Energies are from GGA-PBE.

Unit cell a=3.572 b=11.371 c=11.302 alpha=101.28 beta=90.00 gamma=90.00
Element x y z (fractional)
Dy1 0.750 0.927 0.097
Dy2 0.750 0.532 0.635
Dy3 0.750 0.391 0.052
Dy4 0.250 0.755 0.515
Dy5 0.250 0.185 0.194
Dy6 0.750 0.245 0.485
Dy7 0.250 0.335 0.760
Dy8 0.250 0.073 0.903
Dy9 0.750 0.815 0.806
Dy10 0.250 0.468 0.365
Dy11 0.750 0.665 0.240
Dy12 0.250 0.609 0.948
C1 0.250 0.530 0.143
C2 0.750 0.617 0.439
C3 0.250 0.383 0.561
C4 0.250 0.860 0.952
C5 0.750 0.140 0.048
C6 0.750 0.470 0.857
Mg1 0.750 0.024 0.630
Mg2 0.250 0.976 0.370

Values from the calculation:
crystal system = monoclinic
energy of formation from the pure elements = -0.167 eV per atom
raw total energy = -117.1 eV for the cell shown
space-group type = P2_1/m, No. 11

3.
Here is a geometry-optimized Dy5MgC2 structure from Alexandria via LeMat-Bulk. Energies are from GGA-PBE.

Unit cell a=3.687 b=6.605 c=8.242 alpha=113.62 beta=102.93 gamma=90.00
Element x y z (fractional)
Dy1 0.660 0.409 0.320
Dy2 0.340 0.591 0.680
Dy3 0.660 0.911 0.320
Dy4 0.000 0.500 0.000
Dy5 0.340 0.089 0.680
C1 0.818 0.318 0.637
C2 0.182 0.682 0.363
Mg1 0.000 0.000 0.000

Values from the calculation:
crystal system = orthorhombic
energy of formation from the pure elements = -0.049 eV per atom
raw total energy = -43.4 eV for the cell shown
space-group type = Immm, No. 71

4.
Here is a geometry-optimized DyMg3C4O12 structure from Alexandria via LeMat-Bulk. Energies are from GGA-PBE.

Unit cell a=6.119 b=6.119 c=6.119 alpha=102.84 beta=102.84 gamma=102.84
Last column: magnetic moment on the atom in μB.
Element x y z (fractional)
Mg1 0.457 0.000 0.543  0.01
Mg2 0.543 0.457 0.000  0.01
Mg3 0.000 0.543 0.457  0.01
C1 0.957 0.043 0.500  0.13
C2 0.500 0.957 0.043  0.13
C3 0.043 0.500 0.957  0.13
C4 0.500 0.500 0.500  0.02
O1 0.369 0.968 0.187  0.00
O2 0.968 0.187 0.369  0.00
O3 0.500 0.364 0.636  0.00
O4 0.187 0.369 0.968  0.00
O5 0.636 0.500 0.364  0.00
O6 0.032 0.631 0.813  0.00
O7 0.364 0.636 0.500  0.00
O8 0.500 0.094 0.906  0.01
O9 0.813 0.032 0.631  0.00
O10 0.094 0.906 0.500  0.01
O11 0.906 0.500 0.094  0.01
O12 0.631 0.813 0.032  0.00
Dy1 0.000 0.000 0.000  0.19

Values from the calculation:
crystal system = trigonal
formation energy without anion corrections = -3850 kJ/mol of formula units
raw total energy = -145.7 eV for the cell shown
space-group type = R32, No. 155

5.
Here is a geometry-optimized Dy2MgPbC structure from Alexandria via LeMat-Bulk. Energies are from GGA-PBE.

Unit cell a=4.461 b=4.959 c=4.959 alpha=90.00 beta=90.00 gamma=90.00
Element x y z (fractional)
Dy1 0.000 0.500 0.000
Dy2 0.000 0.000 0.500
Mg1 0.500 0.000 0.000
Pb1 0.500 0.500 0.500
C1 0.000 0.000 0.000

Values from the calculation:
crystal system = tetragonal
energy of formation from the pure elements = -0.412 eV per atom
raw total energy = -25.8 eV for the cell shown
space-group type = P4/mmm, No. 123

6.
Here is a geometry-optimized Dy3MgPb2C structure from Alexandria via LeMat-Bulk. Energies are from GGA-PBE.

Unit cell a=4.469 b=4.857 c=8.735 alpha=106.14 beta=104.82 gamma=90.00
Element x y z (fractional)
Pb1 0.645 0.645 0.290
Pb2 0.355 0.355 0.710
Mg1 0.500 0.000 0.000
Dy1 0.846 0.846 0.692
Dy2 0.154 0.154 0.308
Dy3 0.000 0.500 0.000
C1 0.000 0.000 0.000

Values from the calculation:
crystal system = orthorhombic
energy of formation from the pure elements = -0.403 eV per atom
raw total energy = -34.9 eV for the cell shown
space-group type = Immm, No. 71